Entry 1
KTe2RuN: optimized geometry, GGA-PBE.

POSCAR file:
```
KTe2RuN
1.0
5.792 0.000 0.000
0.000 5.792 0.000
0.000 0.000 3.668
Ru K Te N
1 1 2 1
direct
0.000 0.000 0.000
0.500 0.500 0.500
0.000 0.500 0.000
0.500 0.000 0.000
0.000 0.000 0.500
```

Its magnetic moment is 0.4 μB per formula unit. Its crystal system is tetragonal. The value obtained for the calculated volume is 24.61 A^3/atom.

---

Entry 2
KTe2RuN: optimized geometry, GGA-PBE.

POSCAR file:
```
KTe2RuN
1.0
-1.957 -5.065 -2.606
5.618 -1.261 -1.768
0.734 -2.345 4.006
Ru K Te N
1 1 2 1
direct
0.500 0.500 0.500
0.000 0.000 0.000
0.000 0.500 0.000
0.500 0.000 0.000
0.000 0.000 0.500
```

Its magnetic moment is 6.3 μB per formula unit. Its crystal system is tetragonal. The value obtained for the calculated volume is 34.10 A^3/atom.

---

Decreasing stability: entry 1, entry 2

---

Entry 1
KS3N: optimized geometry, GGA-PBE.

POSCAR file:
```
KS3N
1.0
6.591 1.131 -0.907
0.293 6.196 -2.716
0.526 -3.422 9.976
K S N
2 6 2
direct
0.787 0.789 0.001
0.448 0.949 0.501
0.264 0.756 0.738
0.021 0.527 0.262
0.157 0.673 0.192
0.481 0.961 0.808
0.294 0.587 0.841
0.746 0.457 0.161
0.761 0.224 0.430
0.792 0.327 0.566
```

Its magnetic moment is 1.0 μB per formula unit. Its crystal system is triclinic. The value obtained for the calculated volume is 34.51 A^3/atom.

---

Entry 2
KS3N: optimized geometry, GGA-PBE.

POSCAR file:
```
KS3N
1.0
-1.004 0.286 6.108
4.872 -3.702 0.974
3.695 4.960 0.375
K S N
1 3 1
direct
0.000 0.000 0.000
0.000 0.500 0.000
0.000 0.000 0.500
0.500 0.000 0.000
0.500 0.500 0.500
```

Its magnetic moment is 8.0 μB per formula unit. Its crystal system is cubic. The value obtained for the calculated volume is 47.58 A^3/atom.

---

Entry 3
KS3N: optimized geometry, GGA-PBE.

POSCAR file:
```
KS3N
1.0
-3.669 0.098 2.394
1.883 -2.589 2.992
1.482 3.534 2.125
K S N
1 3 1
direct
0.500 0.500 0.500
0.000 0.500 0.000
0.000 0.000 0.500
0.500 0.000 0.000
0.000 0.000 0.000
```

Its magnetic moment is 0.0 μB per formula unit. Its crystal system is cubic. The value obtained for the calculated volume is 16.83 A^3/atom.

---

Decreasing stability: entry 1, entry 3, entry 2

---

Entry 1
KSbSN2: optimized geometry, GGA-PBE.

POSCAR file:
```
KSbSN2
1.0
4.725 0.000 0.000
0.000 4.725 0.000
0.000 0.000 5.911
Sb K S N
1 1 1 2
direct
0.500 0.500 0.500
0.000 0.000 0.000
0.000 0.000 0.500
0.000 0.500 0.000
0.500 0.000 0.000
```

Its magnetic moment is 4.1 μB per formula unit. Its crystal system is tetragonal. The value obtained for the calculated volume is 26.40 A^3/atom.

---

Entry 2
KSbSN2: optimized geometry, GGA-PBE.

POSCAR file:
```
KSbSN2
1.0
-1.842 0.054 -3.850
3.639 -1.369 -1.761
-1.528 -4.912 0.662
Sb K S N
1 1 1 2
direct
0.000 0.000 0.000
0.500 0.500 0.500
0.000 0.000 0.500
0.000 0.500 0.000
0.500 0.000 0.000
```

Its magnetic moment is 2.3 μB per formula unit. Its crystal system is tetragonal. The value obtained for the calculated volume is 18.90 A^3/atom.

---

Decreasing stability: entry 2, entry 1

---

Entry 1
KSeS2N: optimized geometry, GGA-PBE.

POSCAR file:
```
KSeS2N
1.0
5.486 0.000 0.000
0.000 5.486 0.000
0.000 0.000 4.278
K S Se N
1 2 1 1
direct
0.000 0.000 0.000
0.000 0.500 0.000
0.500 0.000 0.000
0.500 0.500 0.500
0.000 0.000 0.500
```

Its magnetic moment is 0.8 μB per formula unit. Its crystal system is tetragonal. The value obtained for the calculated volume is 25.75 A^3/atom.

---

Entry 2
KSeS2N: optimized geometry, GGA-PBE.

POSCAR file:
```
KSeS2N
1.0
5.028 0.000 0.000
0.000 5.028 0.000
0.000 0.000 4.140
K S Se N
1 2 1 1
direct
0.500 0.500 0.500
0.000 0.500 0.000
0.500 0.000 0.000
0.000 0.000 0.000
0.000 0.000 0.500
```

Its magnetic moment is 1.8 μB per formula unit. Its crystal system is tetragonal. The value obtained for the calculated volume is 20.93 A^3/atom.

---

Decreasing stability: entry 2, entry 1

---

Entry 1
KSiSN2: optimized geometry, GGA-PBE.

POSCAR file:
```
KSiSN2
1.0
-0.341 -2.697 -3.858
2.537 -3.363 2.127
-4.987 -2.416 2.130
K Si S N
1 1 1 2
direct
0.000 0.000 0.000
0.500 0.500 0.500
0.000 0.000 0.500
0.000 0.500 0.000
0.500 0.000 0.000
```

Its magnetic moment is 5.0 μB per formula unit. Its crystal system is tetragonal. The value obtained for the calculated volume is 26.45 A^3/atom.

---

Entry 2
KSiSN2: optimized geometry, GGA-PBE.

POSCAR file:
```
KSiSN2
1.0
3.848 0.000 0.000
0.000 3.848 0.000
0.000 0.000 4.743
K Si S N
1 1 1 2
direct
0.500 0.500 0.500
0.000 0.000 0.000
0.000 0.000 0.500
0.000 0.500 0.000
0.500 0.000 0.000
```

Its magnetic moment is 2.3 μB per formula unit. Its crystal system is tetragonal. The value obtained for the calculated volume is 14.04 A^3/atom.

---

Decreasing stability: entry 2, entry 1

---

Entry 1
KSrSN2: optimized geometry, GGA-PBE.

POSCAR file:
```
KSrSN2
1.0
-2.664 3.419 2.632
-2.931 -3.704 1.845
3.627 -0.632 4.493
Sr K S N
1 1 1 2
direct
0.000 0.000 0.000
0.500 0.500 0.500
0.000 0.000 0.500
0.000 0.500 0.000
0.500 0.000 0.000
```

Its magnetic moment is 4.9 μB per formula unit. Its crystal system is tetragonal. The value obtained for the calculated volume is 29.87 A^3/atom.

---

Entry 2
KSrSN2: optimized geometry, GGA-PBE.

POSCAR file:
```
KSrSN2
1.0
4.809 0.000 0.000
0.000 4.809 0.000
0.000 0.000 5.854
Sr K S N
1 1 1 2
direct
0.500 0.500 0.500
0.000 0.000 0.000
0.000 0.000 0.500
0.000 0.500 0.000
0.500 0.000 0.000
```

Its magnetic moment is 5.0 μB per formula unit. Its crystal system is tetragonal. The value obtained for the calculated volume is 27.07 A^3/atom.

---

Decreasing stability: entry 1, entry 2

---

Entry 1
KTaSN2: optimized geometry, GGA-PBE.

POSCAR file:
```
KTaSN2
1.0
4.055 0.000 0.000
0.000 4.055 0.000
0.000 0.000 5.194
K N S Ta
1 2 1 1
direct
0.000 0.000 0.000
0.000 0.500 0.000
0.500 0.000 0.000
0.000 0.000 0.500
0.500 0.500 0.500
```

Its magnetic moment is 0.1 μB per formula unit. Its crystal system is tetragonal. The value obtained for the calculated volume is 17.08 A^3/atom.

---

Entry 2
KTaSN2: optimized geometry, GGA-PBE.

POSCAR file:
```
KTaSN2
1.0
-1.697 1.610 -3.440
0.262 -3.709 -1.866
-4.524 -1.168 1.685
K N S Ta
1 2 1 1
direct
0.500 0.500 0.500
0.000 0.500 0.000
0.500 0.000 0.000
0.000 0.000 0.500
0.000 0.000 0.000
```

Its magnetic moment is 1.6 μB per formula unit. Its crystal system is tetragonal. The value obtained for the calculated volume is 17.19 A^3/atom.

---

Decreasing stability: entry 2, entry 1

---

Entry 1
KTlS2N: optimized geometry, GGA-PBE.

POSCAR file:
```
KTlS2N
1.0
-0.239 0.196 -5.141
-2.744 -6.333 -0.114
-4.720 2.040 0.297
S Tl K N
2 1 1 1
direct
0.000 0.000 0.500
0.500 0.000 0.000
0.000 0.000 0.000
0.000 0.500 0.000
0.500 0.500 0.500
```

Its magnetic moment is 3.0 μB per formula unit. Its crystal system is tetragonal. The value obtained for the calculated volume is 36.61 A^3/atom.

---

Entry 2
KTlS2N: optimized geometry, GGA-PBE.

POSCAR file:
```
KTlS2N
1.0
5.287 0.000 0.000
0.000 5.287 0.000
0.000 0.000 4.681
S Tl K N
2 1 1 1
direct
0.000 0.500 0.000
0.500 0.000 0.000
0.000 0.000 0.000
0.500 0.500 0.500
0.000 0.000 0.500
```

Its magnetic moment is 2.5 μB per formula unit. Its crystal system is tetragonal. The value obtained for the calculated volume is 26.17 A^3/atom.

---

Decreasing stability: entry 2, entry 1

---

Entry 1
KTlSN2: optimized geometry, GGA-PBE.

POSCAR file:
```
KTlSN2
1.0
5.112 0.000 0.000
0.000 5.112 0.000
0.000 0.000 6.054
S Tl K N
1 1 1 2
direct
0.000 0.000 0.500
0.500 0.500 0.500
0.000 0.000 0.000
0.000 0.500 0.000
0.500 0.000 0.000
```

Its magnetic moment is 6.0 μB per formula unit. Its crystal system is tetragonal. The value obtained for the calculated volume is 31.64 A^3/atom.

---

Entry 2
KTlSN2: optimized geometry, GGA-PBE.

POSCAR file:
```
KTlSN2
1.0
4.671 0.000 0.000
0.000 4.671 0.000
0.000 0.000 5.338
S Tl K N
1 1 1 2
direct
0.000 0.000 0.500
0.000 0.000 0.000
0.500 0.500 0.500
0.000 0.500 0.000
0.500 0.000 0.000
```

Its magnetic moment is 4.1 μB per formula unit. Its crystal system is tetragonal. The value obtained for the calculated volume is 23.29 A^3/atom.

---

Decreasing stability: entry 2, entry 1

---

Entry 1
KVS2N: optimized geometry, GGA-PBE.

POSCAR file:
```
KVS2N
1.0
4.824 0.000 0.000
0.000 4.824 0.000
0.000 0.000 3.801
K N S V
1 1 2 1
direct
0.500 0.500 0.500
0.000 0.000 0.500
0.000 0.500 0.000
0.500 0.000 0.000
0.000 0.000 0.000
```

Its magnetic moment is 1.0 μB per formula unit. Its crystal system is tetragonal. The value obtained for the calculated volume is 17.70 A^3/atom.

---

Entry 2
KVS2N: optimized geometry, GGA-PBE.

POSCAR file:
```
KVS2N
1.0
-3.407 -1.783 3.418
3.841 -1.956 2.808
0.265 3.584 2.133
K N S V
1 1 2 1
direct
0.000 0.000 0.000
0.000 0.000 0.500
0.000 0.500 0.000
0.500 0.000 0.000
0.500 0.500 0.500
```

Its magnetic moment is 0.2 μB per formula unit. Its crystal system is tetragonal. The value obtained for the calculated volume is 22.12 A^3/atom.

---

Decreasing stability: entry 1, entry 2

---

Entry 1
KWSN2: optimized geometry, GGA-PBE.

POSCAR file:
```
KWSN2
1.0
4.041 0.000 0.000
0.000 4.041 0.000
0.000 0.000 4.899
K S W N
1 1 1 2
direct
0.500 0.500 0.500
0.000 0.000 0.500
0.000 0.000 0.000
0.000 0.500 0.000
0.500 0.000 0.000
```

Its magnetic moment is 1.0 μB per formula unit. Its crystal system is tetragonal. The value obtained for the calculated volume is 16.00 A^3/atom.

---

Entry 2
KWSN2: optimized geometry, GGA-PBE.

POSCAR file:
```
KWSN2
1.0
-2.801 -2.747 -1.438
3.058 -2.769 -0.667
-0.668 -1.949 5.025
K S W N
1 1 1 2
direct
0.000 0.000 0.000
0.000 0.000 0.500
0.500 0.500 0.500
0.000 0.500 0.000
0.500 0.000 0.000
```

Its magnetic moment is 1.0 μB per formula unit. Its crystal system is tetragonal. The value obtained for the calculated volume is 18.97 A^3/atom.

---

Decreasing stability: entry 1, entry 2

---

Entry 1
KWS2N: optimized geometry, GGA-PBE.

POSCAR file:
```
KWS2N
1.0
-0.295 4.795 -1.495
-3.436 -1.285 -3.443
-2.770 0.620 2.533
K S W N
1 2 1 1
direct
0.000 0.000 0.000
0.000 0.500 0.000
0.500 0.000 0.000
0.500 0.500 0.500
0.000 0.000 0.500
```

Its magnetic moment is 0.0 μB per formula unit. Its crystal system is tetragonal. The value obtained for the calculated volume is 19.26 A^3/atom.

---

Entry 2
KWS2N: optimized geometry, GGA-PBE.

POSCAR file:
```
KWS2N
1.0
-0.660 0.357 4.827
-2.556 -4.163 -0.042
3.292 -2.028 0.600
K S W N
1 2 1 1
direct
0.500 0.500 0.500
0.000 0.500 0.000
0.500 0.000 0.000
0.000 0.000 0.000
0.000 0.000 0.500
```

Its magnetic moment is 0.0 μB per formula unit. Its crystal system is tetragonal. The value obtained for the calculated volume is 18.67 A^3/atom.

---

Decreasing stability: entry 2, entry 1